[1]
# PrP3O9

A PBEsol-optimized structure of PrP3O9 (meta-GGA SCAN, Alexandria).

Cell: 7.0724 7.0724 7.3485 Å, 90.00 90.00 105.48°
With the nearest neighbours (Å) after each atom.
Positions (direct):
O 0.8759 0.1241 0.7500  2 P 1.60
O 0.0297 0.2478 0.4566  2 P 1.58-1.62
O 0.9703 0.7522 0.9566  2 P 1.58-1.62
O 0.3285 0.3674 0.6680  1 P 1.51
O 0.6755 0.2848 0.9607  1 P 1.49
O 0.2478 0.0297 0.5434  2 P 1.58-1.62
O 0.3245 0.7152 0.4607  1 P 1.49
O 0.1241 0.8759 0.2500  2 P 1.60
O 0.2818 0.0292 0.9629  1 P 1.49
O 0.7182 0.9708 0.4629  1 P 1.49
O 0.0292 0.2818 0.0371  1 P 1.49
O 0.7522 0.9703 0.0434  2 P 1.58-1.62
O 0.3674 0.3285 0.3320  1 P 1.51
O 0.6326 0.6715 0.8320  1 P 1.51
O 0.2848 0.6755 0.0393  1 P 1.49
O 0.6715 0.6326 0.1680  1 P 1.51
O 0.7152 0.3245 0.5393  1 P 1.49
O 0.9708 0.7182 0.5371  1 P 1.49
P 0.8357 0.1850 0.9535  4 O 1.49-1.62
P 0.1643 0.8150 0.4535  4 O 1.49-1.62
P 0.2490 0.2490 0.5000  4 O 1.51-1.58
P 0.1850 0.8357 0.0465  4 O 1.49-1.62
P 0.8150 0.1643 0.5465  4 O 1.49-1.62
P 0.7510 0.7510 0.0000  4 O 1.51-1.58
Pr 0.3773 0.3773 0.0000  8 O 2.39-2.67
Pr 0.6227 0.6227 0.5000  8 O 2.39-2.67

Values from the calculation:
D(E_F) ... 0.000 states/eV per cell
ΔE_f (raw) ... -2.783 eV/atom
Total moment ... 0.000 μB per cell



[2]
# PrPO4

A PBEsol-optimized structure of PrPO4 (meta-GGA SCAN, Alexandria).

Cell: 6.4110 6.7775 6.9949 Å, 90.00 90.00 103.61°
With the nearest neighbours (Å) after each atom.
Positions (direct):
O 0.4970 0.3817 0.6676  1 P 1.56
O 0.9406 0.7492 0.5040  1 P 1.54
O 0.5030 0.6183 0.3324  1 P 1.56
O 0.6905 0.0264 0.3948  1 P 1.55
O 0.2875 0.8754 0.2130  1 P 1.54
O 0.7875 0.3754 0.2870  1 P 1.54
O 0.0030 0.1183 0.1676  1 P 1.56
O 0.8095 0.4736 0.8948  1 P 1.55
O 0.4406 0.2492 0.9960  1 P 1.54
O 0.3095 0.9736 0.6052  1 P 1.55
O 0.1905 0.5264 0.1052  1 P 1.55
O 0.2125 0.6246 0.7130  1 P 1.54
O 0.9970 0.8817 0.8324  1 P 1.56
O 0.5594 0.7508 0.0040  1 P 1.54
O 0.0594 0.2508 0.4960  1 P 1.54
O 0.7125 0.1246 0.7870  1 P 1.54
Pr 0.8997 0.7178 0.1576  8 O 2.44-2.64
Pr 0.3997 0.2178 0.3424  8 O 2.44-2.64
Pr 0.1003 0.2822 0.8424  8 O 2.44-2.64
Pr 0.6003 0.7822 0.6576  8 O 2.44-2.64
P 0.6127 0.3033 0.8377  4 O 1.54-1.56
P 0.1127 0.8033 0.6623  4 O 1.54-1.56
P 0.3873 0.6967 0.1623  4 O 1.54-1.56
P 0.8873 0.1967 0.3377  4 O 1.54-1.56

Values from the calculation:
D(E_F) ... 0.000 states/eV per cell
ΔE_f (raw) ... -3.323 eV/atom
Total moment ... 0.000 μB per cell



[3]
# PrPO4

A PBEsol-optimized structure of PrPO4 (meta-GGA SCAN, Alexandria).

Cell: 5.9283 5.9283 5.9283 Å, 106.01 106.01 116.63°
With the nearest neighbours (Å) after each atom.
Positions (direct):
Pr 0.7500 0.2500 0.5000  8 O 2.42-2.48
Pr 0.5000 0.5000 0.0000  8 O 2.42-2.48
P 0.0000 0.0000 0.0000  4 O 1.55
P 0.2500 0.7500 0.5000  4 O 1.55
O 0.8466 0.0180 0.1714  1 P 1.55
O 0.3247 0.1534 0.1714  1 P 1.55
O 0.9253 0.5966 0.3286  1 P 1.55
O 0.2680 0.5966 0.6714  1 P 1.55
O 0.4034 0.7320 0.3286  1 P 1.55
O 0.4034 0.0747 0.6714  1 P 1.55
O 0.8466 0.6753 0.8286  1 P 1.55
O 0.9820 0.1534 0.8286  1 P 1.55

Values from the calculation:
D(E_F) ... 0.000 states/eV per cell
ΔE_f (raw) ... -3.292 eV/atom
Total moment ... 0.000 μB per cell



[4]
# PrZr6P9O36

A PBEsol-optimized structure of PrZr6P9O36 (meta-GGA SCAN, Alexandria).

Cell: 8.8466 8.8466 23.0356 Å, 90.00 90.00 120.00°
With the nearest neighbours (Å) after each atom.
Positions (direct):
Zr 0.0000 0.0000 0.6499  6 O 1.99-2.20
Zr 0.3333 0.6667 0.0279  6 O 2.04-2.10
Zr 0.3333 0.6667 0.3124  6 O 2.04-2.08
Zr 0.6667 0.3333 0.9721  6 O 2.04-2.10
Zr 0.0000 0.0000 0.1499  6 O 1.99-2.20
Zr 0.0000 0.0000 0.8501  6 O 1.99-2.20
Zr 0.0000 0.0000 0.3501  6 O 1.99-2.20
Zr 0.3333 0.6667 0.5279  6 O 2.04-2.10
Zr 0.6667 0.3333 0.4721  6 O 2.04-2.10
Zr 0.3333 0.6667 0.8124  6 O 2.04-2.08
Zr 0.6667 0.3333 0.6876  6 O 2.04-2.08
Zr 0.6667 0.3333 0.1876  6 O 2.04-2.08
O 0.8808 0.5071 0.4257  1 P 1.53
O 0.4537 0.2857 0.0250  1 P 1.54
O 0.1680 0.4537 0.9750  1 P 1.54
O 0.5318 0.8401 0.7606  1 P 1.52
O 0.3083 0.4682 0.7606  1 P 1.52
O 0.1490 0.6778 0.3653  1 P 1.52
O 0.8510 0.3222 0.6347  1 P 1.52
O 0.0143 0.1814 0.9178  1 P 1.58
O 0.5288 0.6778 0.8653  1 P 1.52
O 0.1814 0.1670 0.0822  1 P 1.58
O 0.0326 0.2042 0.1965  1 P 1.55
O 0.8186 0.8330 0.9178  1 P 1.58
O 0.5288 0.8510 0.3653  1 P 1.52
O 0.4682 0.3083 0.7394  1 P 1.52
O 0.8285 0.0326 0.8035  1 P 1.55
O 0.8510 0.5288 0.1347  1 P 1.52
O 0.9857 0.1670 0.5822  1 P 1.58
O 0.8320 0.2857 0.5250  1 P 1.54
O 0.2857 0.8320 0.9750  1 P 1.54
O 0.1814 0.0143 0.5822  1 P 1.58
O 0.6778 0.1490 0.1347  1 P 1.52
O 0.8186 0.9857 0.4178  1 P 1.58
O 0.2857 0.4537 0.4750  1 P 1.54
O 0.6917 0.5318 0.2394  1 P 1.52
O 0.4712 0.3222 0.1347  1 P 1.52
O 0.3083 0.8401 0.2606  1 P 1.52
O 0.7958 0.8285 0.1965  1 P 1.55
O 0.1490 0.4712 0.8653  1 P 1.52
O 0.4537 0.1680 0.5250  1 P 1.54
O 0.5071 0.6264 0.5743  1 P 1.53
O 0.8808 0.3736 0.9257  1 P 1.53
O 0.2042 0.1715 0.8035  1 P 1.55
O 0.6264 0.5071 0.9257  1 P 1.53
O 0.8401 0.3083 0.2394  1 P 1.52
O 0.8330 0.8186 0.5822  1 P 1.58
O 0.7143 0.1680 0.0250  1 P 1.54
O 0.5463 0.7143 0.9750  1 P 1.54
O 0.1715 0.9674 0.1965  1 P 1.55
O 0.6917 0.1599 0.7394  1 P 1.52
O 0.0326 0.8285 0.6965  1 P 1.55
O 0.4929 0.3736 0.4257  1 P 1.53
O 0.3736 0.4929 0.0743  1 P 1.53
O 0.4929 0.1192 0.9257  1 P 1.53
O 0.3222 0.4712 0.3653  1 P 1.52
O 0.9857 0.8186 0.0822  1 P 1.58
O 0.1599 0.4682 0.2606  1 P 1.52
O 0.3222 0.8510 0.8653  1 P 1.52
O 0.9674 0.1715 0.3035  1 P 1.55
O 0.4712 0.1490 0.6347  1 P 1.52
O 0.1192 0.4929 0.5743  1 P 1.53
O 0.8285 0.7958 0.3035  1 P 1.55
O 0.2042 0.0326 0.3035  1 P 1.55
O 0.6264 0.1192 0.4257  1 P 1.53
O 0.5463 0.8320 0.4750  1 P 1.54
O 0.7143 0.5463 0.5250  1 P 1.54
O 0.1670 0.1814 0.4178  1 P 1.58
O 0.1670 0.9857 0.9178  1 P 1.58
O 0.4682 0.1599 0.2394  1 P 1.52
O 0.3736 0.8808 0.5743  1 P 1.53
O 0.8401 0.5318 0.7394  1 P 1.52
O 0.7958 0.9674 0.6965  1 P 1.55
O 0.1192 0.6264 0.0743  1 P 1.53
O 0.6778 0.5288 0.6347  1 P 1.52
O 0.0143 0.8330 0.4178  1 P 1.58
O 0.1715 0.2042 0.6965  1 P 1.55
O 0.8330 0.0143 0.0822  1 P 1.58
O 0.5318 0.6917 0.2606  1 P 1.52
O 0.8320 0.5463 0.0250  1 P 1.54
O 0.1599 0.6917 0.7606  1 P 1.52
O 0.9674 0.7958 0.8035  1 P 1.55
O 0.5071 0.8808 0.0743  1 P 1.53
O 0.1680 0.7143 0.4750  1 P 1.54
P 0.3765 0.3216 0.0795  4 O 1.52-1.58
P 0.0549 0.6784 0.4205  4 O 1.52-1.58
P 0.9451 0.6235 0.0795  4 O 1.52-1.58
P 0.3765 0.0549 0.5795  4 O 1.52-1.58
P 0.6235 0.9451 0.4205  4 O 1.52-1.58
P 0.2907 0.0000 0.2500  4 O 1.52-1.55
P 0.6235 0.6784 0.9205  4 O 1.52-1.58
P 0.6784 0.6235 0.5795  4 O 1.52-1.58
P 0.0000 0.2907 0.2500  4 O 1.52-1.55
P 0.7093 0.7093 0.2500  4 O 1.52-1.55
P 0.7093 0.0000 0.7500  4 O 1.52-1.55
P 0.3216 0.3765 0.4205  4 O 1.52-1.58
P 0.0549 0.3765 0.9205  4 O 1.52-1.58
P 0.2907 0.2907 0.7500  4 O 1.52-1.55
P 0.9451 0.3216 0.5795  4 O 1.52-1.58
P 0.6784 0.0549 0.0795  4 O 1.52-1.58
P 0.3216 0.9451 0.9205  4 O 1.52-1.58
P 0.0000 0.7093 0.7500  4 O 1.52-1.55
Pr 0.0000 0.0000 0.5000  6 O 2.44
Pr 0.0000 0.0000 0.0000  6 O 2.44

Values from the calculation:
D(E_F) ... 0.000 states/eV per cell
ΔE_f (raw) ... -3.072 eV/atom
Total moment ... 0.000 μB per cell



[5]
# P2PtO

A PBEsol-optimized structure of P2PtO (meta-GGA SCAN, Alexandria).

Cell: 4.8309 4.8309 6.3358 Å, 112.41 112.41 90.00°
With the nearest neighbours (Å) after each atom.
Positions (direct):
P 0.4161 0.8750 0.2500  2 O 2.06, 2 Pt 2.28
P 0.8339 0.3750 0.2500  2 O 2.06, 2 Pt 2.28
P 0.6250 0.5839 0.7500  2 O 2.06, 2 Pt 2.28
P 0.1250 0.1661 0.7500  2 O 2.06, 2 Pt 2.28
O 0.7500 0.2500 0.5000  4 P 2.06
O 0.5000 0.5000 0.0000  4 P 2.06
Pt 0.2500 0.7500 0.5000  4 P 2.28
Pt 0.0000 0.0000 0.0000  4 P 2.28

Values from the calculation:
D(E_F) ... 3.100 states/eV per cell
ΔE_f (raw) ... -0.133 eV/atom
Total moment ... 0.000 μB per cell



[6]
# PPtO3

A PBEsol-optimized structure of PPtO3 (meta-GGA SCAN, Alexandria).

Cell: 3.6015 3.6015 3.6015 Å, 90.00 90.00 90.00°
With the nearest neighbours (Å) after each atom.
Positions (direct):
O 0.0000 0.0000 0.5000  2 P 1.80
O 0.5000 0.0000 0.0000  2 P 1.80
O 0.0000 0.5000 0.0000  2 P 1.80
Pt 0.5000 0.5000 0.5000  12 O 2.55
P 0.0000 0.0000 0.0000  6 O 1.80

Values from the calculation:
D(E_F) ... 1.700 states/eV per cell
ΔE_f (raw) ... -0.122 eV/atom
Total moment ... 1.543 μB per cell



[7]
# ReP2PtO

A PBEsol-optimized structure of ReP2PtO (meta-GGA SCAN, Alexandria).

Cell: 3.6051 4.6994 4.6994 Å, 90.00 90.00 90.00°
With the nearest neighbours (Å) after each atom.
Positions (direct):
Pt 0.0000 0.0000 0.0000  2 O 1.80
Re 0.5000 0.5000 0.5000  8 P 2.96
O 0.5000 0.0000 0.0000  2 Pt 1.80
P 0.0000 0.5000 0.0000  2 Pt 2.35
P 0.0000 0.0000 0.5000  2 Pt 2.35

Values from the calculation:
D(E_F) ... 2.592 states/eV per cell
ΔE_f (raw) ... 1.023 eV/atom
Total moment ... 3.330 μB per cell



[8]
# PRuPtO2

A PBEsol-optimized structure of PRuPtO2 (meta-GGA SCAN, Alexandria).

Cell: 3.5918 3.5918 5.4115 Å, 90.00 90.00 90.00°
With the nearest neighbours (Å) after each atom.
Positions (direct):
O 0.0000 0.5000 0.0000  2 Ru 1.80
O 0.5000 0.0000 0.0000  2 Ru 1.80
P 0.0000 0.0000 0.5000  4 Pt 2.54, 2 Ru 2.71
Pt 0.5000 0.5000 0.5000  4 P 2.54
Ru 0.0000 0.0000 0.0000  4 O 1.80

Values from the calculation:
D(E_F) ... 1.706 states/eV per cell
ΔE_f (raw) ... -0.285 eV/atom
Total moment ... 0.000 μB per cell